[1]
Crystalline KZrBeRe2 at its relaxed geometry. Source: the Alexandria database, functional PBE.

The structure in CIF format:
```
data_KZrBeRe2
_cell_length_a 4.3658
_cell_length_b 4.8351
_cell_length_c 4.3658
_cell_angle_alpha 90.00
_cell_angle_beta 90.00
_cell_angle_gamma 90.00
_space_group_name_H-M_alt 'P 1'
_space_group_IT_number 1
loop_
_space_group_symop_operation_xyz
'x,y,z'
loop_
_atom_site_label
_atom_site_fract_x
_atom_site_fract_y
_atom_site_fract_z
_atom_site_occupancy
Re1 0.0000 0.0000 0.5000 1
Re2 0.5000 0.0000 0.0000 1
K1 0.0000 0.5000 0.0000 1
Zr1 0.5000 0.5000 0.5000 1
Be1 0.0000 0.0000 0.0000 1
```

## Properties
ρ (Mg/m³): 9.22
ΔH_f (0 K) (kJ per mole of atoms): 134.3
Space group: No. 123

---

[2]
Crystalline KBeRh2 at its relaxed geometry. Source: the Alexandria database, functional PBE.

The structure in CIF format:
```
data_KBeRh2
_cell_length_a 3.0254
_cell_length_b 3.0254
_cell_length_c 7.6926
_cell_angle_alpha 90.00
_cell_angle_beta 90.00
_cell_angle_gamma 90.00
_space_group_name_H-M_alt 'P 1'
_space_group_IT_number 1
loop_
_space_group_symop_operation_xyz
'x,y,z'
loop_
_atom_site_label
_atom_site_fract_x
_atom_site_fract_y
_atom_site_fract_z
_atom_site_occupancy
Be1 0.0000 0.0000 0.3861 1
K1 0.5000 0.5000 0.7421 1
Rh1 0.0000 0.0000 0.0722 1
Rh2 0.5000 0.5000 0.2996 1
```

## Properties
ρ (Mg/m³): 5.99
ΔH_f (0 K) (kJ per mole of atoms): 21.0
Space group: No. 99

---

[3]
Crystalline KBeRh2 at its relaxed geometry. Source: the Alexandria database, functional PBE.

The structure in CIF format:
```
data_KBeRh2
_cell_length_a 5.7595
_cell_length_b 5.7595
_cell_length_c 5.7595
_cell_angle_alpha 152.47
_cell_angle_beta 126.57
_cell_angle_gamma 61.14
_space_group_name_H-M_alt 'P 1'
_space_group_IT_number 1
loop_
_space_group_symop_operation_xyz
'x,y,z'
loop_
_atom_site_label
_atom_site_fract_x
_atom_site_fract_y
_atom_site_fract_z
_atom_site_occupancy
Be1 0.4497 0.4497 0.0000 1
K1 0.7415 0.2415 0.5000 1
Rh1 0.0401 0.0401 0.0000 1
Rh2 0.2687 0.7687 0.5000 1
```

## Properties
ρ (Mg/m³): 5.99
ΔH_f (0 K) (kJ per mole of atoms): 60.9
Space group: No. 44

---

[4]
Crystalline K2BeRh at its relaxed geometry. Source: the Alexandria database, functional PBE.

The structure in CIF format:
```
data_K2BeRh
_cell_length_a 11.3535
_cell_length_b 11.3535
_cell_length_c 11.3535
_cell_angle_alpha 15.37
_cell_angle_beta 15.37
_cell_angle_gamma 15.37
_space_group_name_H-M_alt 'P 1'
_space_group_IT_number 1
loop_
_space_group_symop_operation_xyz
'x,y,z'
loop_
_atom_site_label
_atom_site_fract_x
_atom_site_fract_y
_atom_site_fract_z
_atom_site_occupancy
Be1 0.7500 0.7500 0.7500 1
K1 0.9939 0.9939 0.9939 1
K2 0.5061 0.5061 0.5061 1
Rh1 0.2500 0.2500 0.2500 1
```

## Properties
ρ (Mg/m³): 3.53
ΔH_f (0 K) (kJ per mole of atoms): 103.8
Space group: No. 166

---

Values for Fermi-level density of states, states/eV/f.u., ordered as above
6.41; 3.37; 3.98; 3.09
Values for E_tot, eV/cell, ordered as above
-31.307; -18.657; -17.003; -8.970